Entry 1:
Material: Te3P2O11
Method: DFT, GGA-PBEsol
State: relaxed

a = 12.4650 Å, b = 7.3137 Å, c = 9.9008 Å
α = 90.00°, β = 97.79°, γ = 90.00°
Fractional coordinates of all 64 atoms:
Te: 0.1423 0.2293 0.1242
Te: 0.1423 0.2707 0.6242
Te: 0.2605 0.7016 0.0254
Te: 0.2605 0.7984 0.5254
Te: 0.3522 0.2502 0.4397
Te: 0.3522 0.2498 0.9397
Te: 0.6478 0.7502 0.0603
Te: 0.6478 0.7498 0.5603
Te: 0.7395 0.2016 0.4746
Te: 0.7395 0.2984 0.9746
Te: 0.8577 0.7293 0.3758
Te: 0.8577 0.7707 0.8758
P: 0.0846 0.6930 0.7281
P: 0.0846 0.8070 0.2281
P: 0.4285 0.6909 0.3209
P: 0.4285 0.8091 0.8209
P: 0.5715 0.1909 0.1791
P: 0.5715 0.3091 0.6791
P: 0.9154 0.1930 0.7719
P: 0.9154 0.3070 0.2719
O: 0.0337 0.2476 0.2911
O: 0.0337 0.2524 0.7911
O: 0.0945 0.5315 0.6250
O: 0.0945 0.9685 0.1250
O: 0.1219 0.6390 0.8777
O: 0.1219 0.8610 0.3777
O: 0.1597 0.6539 0.1825
O: 0.1597 0.8461 0.6825
O: 0.2447 0.1063 0.0130
O: 0.2447 0.3937 0.5130
O: 0.2458 0.1976 0.2757
O: 0.2458 0.3024 0.7757
O: 0.2690 0.0584 0.5473
O: 0.2690 0.4416 0.0473
O: 0.3700 0.6472 0.8864
O: 0.3700 0.8528 0.3864
O: 0.3800 0.5138 0.3696
O: 0.3800 0.9862 0.8696
O: 0.4063 0.7105 0.1637
O: 0.4063 0.7895 0.6637
O: 0.4485 0.2009 0.1399
O: 0.4485 0.2991 0.6399
O: 0.5515 0.7009 0.3601
O: 0.5515 0.7991 0.8601
O: 0.5937 0.2105 0.3363
O: 0.5937 0.2895 0.8363
O: 0.6200 0.0138 0.1304
O: 0.6200 0.4862 0.6304
O: 0.6300 0.1472 0.6136
O: 0.6300 0.3528 0.1136
O: 0.7310 0.5584 0.9527
O: 0.7310 0.9416 0.4527
O: 0.7542 0.6976 0.2243
O: 0.7542 0.8024 0.7243
O: 0.7553 0.6063 0.4870
O: 0.7553 0.8937 0.9870
O: 0.8403 0.1539 0.3175
O: 0.8403 0.3461 0.8175
O: 0.8781 0.1390 0.6223
O: 0.8781 0.3610 0.1223
O: 0.9055 0.0315 0.8750
O: 0.9055 0.4685 0.3750
O: 0.9663 0.7476 0.2089
O: 0.9663 0.7524 0.7089

Output
As for the space-group type: P2_1/c, No. 14. The calculated density is 4610 kg/m3. The value obtained for the uncorrected formation energy is -24.84 eV per formula unit. The value obtained for the total magnetization is 0.0 μB per cell.



Entry 2:
Material: ZnTeP2O
Method: DFT, GGA-PBEsol
State: relaxed

a = 5.0570 Å, b = 5.0570 Å, c = 3.8886 Å
α = 90.00°, β = 90.00°, γ = 90.00°
Fractional coordinates of all 5 atoms:
Zn: 0.0000 0.0000 0.0000
Te: 0.5000 0.5000 0.5000
P: 0.0000 0.5000 0.5000
P: 0.5000 0.0000 0.5000
O: 0.5000 0.5000 0.0000

Output
As for the space-group type: P4/mmm, No. 123. The calculated density is 4525 kg/m3. The value obtained for the uncorrected formation energy is 3.10 eV per formula unit. The value obtained for the total magnetization is 0.0 μB per cell.



Entry 3:
Material: Th2P2O9
Method: DFT, GGA-PBEsol
State: relaxed

a = 5.8574 Å, b = 5.8574 Å, c = 12.8589 Å
α = 90.00°, β = 90.00°, γ = 104.22°
Fractional coordinates of all 26 atoms:
Th: 0.2079 0.7921 0.9285
Th: 0.2921 0.7079 0.4285
Th: 0.7079 0.2921 0.5715
Th: 0.7921 0.2079 0.0715
P: 0.1104 0.8896 0.6409
P: 0.3896 0.6104 0.1409
P: 0.6104 0.3896 0.8591
P: 0.8896 0.1104 0.3591
O: 0.0000 0.0000 0.0000
O: 0.0148 0.6490 0.5836
O: 0.0532 0.9468 0.3758
O: 0.1468 0.8532 0.7565
O: 0.1490 0.5148 0.0836
O: 0.3510 0.9852 0.5836
O: 0.3532 0.6468 0.2565
O: 0.4468 0.5532 0.8758
O: 0.4852 0.8510 0.0836
O: 0.5000 0.5000 0.5000
O: 0.5148 0.1490 0.9164
O: 0.5532 0.4468 0.1242
O: 0.6468 0.3532 0.7435
O: 0.6490 0.0148 0.4164
O: 0.8510 0.4852 0.9164
O: 0.8532 0.1468 0.2435
O: 0.9468 0.0532 0.6242
O: 0.9852 0.3510 0.4164

Output
As for the space-group type: Cmce, No. 64. The calculated density is 5203 kg/m3. The value obtained for the uncorrected formation energy is -39.84 eV per formula unit. The value obtained for the total magnetization is 0.0 μB per cell.



Entry 4:
Material: TiP4O12
Method: DFT, GGA-PBEsol
State: relaxed

a = 6.9928 Å, b = 6.9928 Å, c = 9.4224 Å
α = 92.94°, β = 92.94°, γ = 109.11°
Fractional coordinates of all 34 atoms:
Ti: 0.1138 0.8862 0.7500
Ti: 0.8862 0.1138 0.2500
P: 0.2169 0.2719 0.5339
P: 0.2719 0.2169 0.0339
P: 0.2843 0.6356 0.9683
P: 0.3644 0.7157 0.5317
P: 0.6356 0.2843 0.4683
P: 0.7157 0.3644 0.0317
P: 0.7281 0.7831 0.9661
P: 0.7831 0.7281 0.4661
O: 0.0614 0.2617 0.4138
O: 0.1384 0.1422 0.1536
O: 0.1403 0.6638 0.8493
O: 0.1422 0.1384 0.6536
O: 0.2147 0.3916 0.9618
O: 0.2617 0.0614 0.9138
O: 0.2617 0.6986 0.3908
O: 0.3014 0.7383 0.1092
O: 0.3152 0.4962 0.6026
O: 0.3362 0.8597 0.6507
O: 0.3916 0.2147 0.4618
O: 0.4962 0.3152 0.1026
O: 0.5038 0.6848 0.8974
O: 0.6084 0.7853 0.5382
O: 0.6638 0.1403 0.3493
O: 0.6848 0.5038 0.3974
O: 0.6986 0.2617 0.8908
O: 0.7383 0.3014 0.6092
O: 0.7383 0.9386 0.0862
O: 0.7853 0.6084 0.0382
O: 0.8578 0.8616 0.3464
O: 0.8597 0.3362 0.1507
O: 0.8616 0.8578 0.8464
O: 0.9386 0.7383 0.5862

Output
As for the space-group type: C2/c, No. 15. The calculated density is 2786 kg/m3. The value obtained for the uncorrected formation energy is -38.15 eV per formula unit. The value obtained for the total magnetization is 0.2 μB per cell.



Entry 5:
Material: Ti3P3O13
Method: DFT, GGA-PBEsol
State: relaxed

a = 7.6096 Å, b = 6.3100 Å, c = 10.3809 Å
α = 90.00°, β = 98.69°, γ = 90.00°
Fractional coordinates of all 38 atoms:
Ti: 0.0000 0.0000 0.0000
Ti: 0.0000 0.5000 0.0000
Ti: 0.2121 0.2500 0.5558
Ti: 0.3581 0.7500 0.1858
Ti: 0.6419 0.2500 0.8142
Ti: 0.7879 0.7500 0.4442
P: 0.2217 0.7500 0.4783
P: 0.2619 0.2500 0.2311
P: 0.3010 0.2500 0.8773
P: 0.6990 0.7500 0.1227
P: 0.7381 0.7500 0.7689
P: 0.7783 0.2500 0.5217
O: 0.0189 0.7500 0.4171
O: 0.0866 0.2500 0.1277
O: 0.1332 0.7500 0.0961
O: 0.1974 0.0517 0.9067
O: 0.1974 0.4483 0.9067
O: 0.2113 0.2500 0.3698
O: 0.2568 0.5506 0.5623
O: 0.2568 0.9494 0.5623
O: 0.3362 0.7500 0.3708
O: 0.3381 0.2500 0.7332
O: 0.3671 0.0531 0.2055
O: 0.3671 0.4469 0.2055
O: 0.4943 0.2500 0.9496
O: 0.5057 0.7500 0.0504
O: 0.6329 0.5531 0.7945
O: 0.6329 0.9469 0.7945
O: 0.6619 0.7500 0.2668
O: 0.6638 0.2500 0.6292
O: 0.7432 0.0506 0.4377
O: 0.7432 0.4494 0.4377
O: 0.7887 0.7500 0.6302
O: 0.8026 0.5517 0.0933
O: 0.8026 0.9483 0.0933
O: 0.8668 0.2500 0.9039
O: 0.9134 0.7500 0.8723
O: 0.9811 0.2500 0.5829

Output
As for the space-group type: P2_1/m, No. 11. The calculated density is 2996 kg/m3. The value obtained for the uncorrected formation energy is -48.94 eV per formula unit. The value obtained for the total magnetization is 2.1 μB per cell.



Entry 6:
Material: TiP3O9
Method: DFT, GGA-PBEsol
State: relaxed

a = 11.7823 Å, b = 11.7823 Å, c = 9.6017 Å
α = 109.98°, β = 109.98°, γ = 110.82°
Fractional coordinates of all 78 atoms:
Ti: 0.0790 0.9210 0.5000
Ti: 0.2260 0.7371 0.9650
Ti: 0.4138 0.5909 0.5013
Ti: 0.5909 0.4138 0.0013
Ti: 0.7371 0.2260 0.4650
Ti: 0.9210 0.0790 0.0000
P: 0.1527 0.5499 0.1512
P: 0.2083 0.4818 0.6515
P: 0.2424 0.2851 0.7728
P: 0.2685 0.9957 0.3135
P: 0.2851 0.2424 0.2728
P: 0.3272 0.9345 0.8041
P: 0.4818 0.2083 0.1515
P: 0.5499 0.1527 0.6512
P: 0.5662 0.9408 0.7559
P: 0.5812 0.8692 0.2067
P: 0.6187 0.6746 0.3366
P: 0.6746 0.6187 0.8366
P: 0.8299 0.8927 0.1748
P: 0.8692 0.5812 0.7067
P: 0.8927 0.8299 0.6748
P: 0.9345 0.3272 0.3041
P: 0.9408 0.5662 0.2559
P: 0.9957 0.2685 0.8135
O: 0.0176 0.6675 0.8629
O: 0.0249 0.9111 0.6773
O: 0.0272 0.4065 0.9684
O: 0.0604 0.6018 0.2091
O: 0.0691 0.3608 0.4644
O: 0.1332 0.1620 0.1271
O: 0.1419 0.9289 0.3280
O: 0.1550 0.3118 0.8615
O: 0.1620 0.1332 0.6271
O: 0.1706 0.5449 0.7791
O: 0.2327 0.5201 0.2777
O: 0.2377 0.6598 0.1236
O: 0.2391 0.8041 0.8000
O: 0.2587 0.9181 0.1457
O: 0.2620 0.3849 0.6943
O: 0.2646 0.9390 0.6428
O: 0.3118 0.1550 0.3615
O: 0.3153 0.5836 0.6352
O: 0.3456 0.3867 0.4224
O: 0.3608 0.0691 0.9644
O: 0.3849 0.2620 0.1943
O: 0.3867 0.3456 0.9224
O: 0.4065 0.0272 0.4684
O: 0.4368 0.8182 0.0661
O: 0.4704 0.7965 0.5904
O: 0.4845 0.9652 0.8560
O: 0.5139 0.5895 0.3701
O: 0.5201 0.2327 0.7777
O: 0.5449 0.1706 0.2791
O: 0.5594 0.7595 0.2701
O: 0.5836 0.3153 0.1352
O: 0.5895 0.5139 0.8701
O: 0.5962 0.6535 0.7159
O: 0.6018 0.0604 0.7091
O: 0.6535 0.5962 0.2159
O: 0.6598 0.2377 0.6236
O: 0.6675 0.0176 0.3629
O: 0.6677 0.8487 0.1129
O: 0.7075 0.9772 0.8867
O: 0.7595 0.5594 0.7701
O: 0.7599 0.8050 0.5192
O: 0.7965 0.4704 0.0904
O: 0.8041 0.2391 0.3000
O: 0.8050 0.7599 0.0192
O: 0.8182 0.4368 0.5661
O: 0.8487 0.6677 0.6129
O: 0.8939 0.8952 0.3409
O: 0.8952 0.8939 0.8409
O: 0.9111 0.0249 0.1773
O: 0.9181 0.2587 0.6457
O: 0.9289 0.1419 0.8280
O: 0.9390 0.2646 0.1428
O: 0.9652 0.4845 0.3560
O: 0.9772 0.7075 0.3867

Output
As for the space-group type: Cc, No. 9. The calculated density is 2851 kg/m3. The value obtained for the uncorrected formation energy is -29.88 eV per formula unit. The value obtained for the total magnetization is 6.0 μB per cell.



Entry 7:
Material: TiP4O12
Method: DFT, GGA-PBEsol
State: relaxed

a = 13.0507 Å, b = 8.0719 Å, c = 9.1303 Å
α = 90.00°, β = 90.00°, γ = 90.00°
Fractional coordinates of all 68 atoms:
Ti: 0.0000 0.1614 0.2500
Ti: 0.0000 0.8386 0.7500
Ti: 0.5000 0.3386 0.7500
Ti: 0.5000 0.6614 0.2500
P: 0.1453 0.0408 0.5189
P: 0.1453 0.9592 0.0189
P: 0.1510 0.3242 0.0046
P: 0.1510 0.6758 0.5046
P: 0.3490 0.1758 0.5046
P: 0.3490 0.8242 0.0046
P: 0.3547 0.4592 0.0189
P: 0.3547 0.5407 0.5189
P: 0.6453 0.4592 0.4811
P: 0.6453 0.5407 0.9811
P: 0.6510 0.1758 0.9954
P: 0.6510 0.8242 0.4954
P: 0.8490 0.3242 0.4954
P: 0.8490 0.6758 0.9954
P: 0.8547 0.0408 0.9811
P: 0.8547 0.9592 0.4811
O: 0.0669 0.0230 0.6390
O: 0.0669 0.9770 0.1390
O: 0.0743 0.3079 0.1315
O: 0.0743 0.6921 0.6315
O: 0.1133 0.1455 0.3896
O: 0.1133 0.8545 0.8896
O: 0.1284 0.4263 0.8770
O: 0.1284 0.5737 0.3770
O: 0.1794 0.1352 0.9598
O: 0.1794 0.8648 0.4598
O: 0.2445 0.1209 0.5888
O: 0.2445 0.8791 0.0888
O: 0.2555 0.3791 0.0888
O: 0.2555 0.6209 0.5888
O: 0.3206 0.3648 0.4598
O: 0.3206 0.6352 0.9598
O: 0.3716 0.0737 0.3770
O: 0.3716 0.9263 0.8770
O: 0.3867 0.3545 0.8896
O: 0.3867 0.6455 0.3896
O: 0.4257 0.1921 0.6315
O: 0.4257 0.8079 0.1315
O: 0.4331 0.4770 0.1390
O: 0.4331 0.5230 0.6390
O: 0.5669 0.4770 0.3610
O: 0.5669 0.5230 0.8610
O: 0.5743 0.1921 0.8685
O: 0.5743 0.8079 0.3685
O: 0.6133 0.3545 0.6104
O: 0.6133 0.6455 0.1104
O: 0.6284 0.0737 0.1230
O: 0.6284 0.9263 0.6230
O: 0.6794 0.3648 0.0402
O: 0.6794 0.6352 0.5402
O: 0.7445 0.3791 0.4112
O: 0.7445 0.6209 0.9112
O: 0.7555 0.1209 0.9112
O: 0.7555 0.8791 0.4112
O: 0.8206 0.1352 0.5402
O: 0.8206 0.8648 0.0402
O: 0.8716 0.4263 0.6230
O: 0.8716 0.5737 0.1230
O: 0.8867 0.1455 0.1104
O: 0.8867 0.8545 0.6104
O: 0.9257 0.3079 0.3685
O: 0.9257 0.6921 0.8685
O: 0.9331 0.0230 0.8610
O: 0.9331 0.9770 0.3610

Output
As for the space-group type: Pbcn, No. 60. The calculated density is 2512 kg/m3. The value obtained for the uncorrected formation energy is -38.57 eV per formula unit. The value obtained for the total magnetization is 0.7 μB per cell.



Entry 8:
Material: Ti2P2O9
Method: DFT, GGA-PBEsol
State: relaxed

a = 13.8907 Å, b = 6.2963 Å, c = 7.8627 Å
α = 90.00°, β = 90.00°, γ = 90.00°
Fractional coordinates of all 52 atoms:
Ti: 0.0000 0.0000 0.0000
Ti: 0.0000 0.5000 0.0000
Ti: 0.1231 0.2500 0.3494
Ti: 0.3769 0.7500 0.8494
Ti: 0.5000 0.0000 0.5000
Ti: 0.5000 0.5000 0.5000
Ti: 0.6231 0.2500 0.1506
Ti: 0.8769 0.7500 0.6506
P: 0.0560 0.7500 0.3477
P: 0.1959 0.7500 0.9175
P: 0.3041 0.2500 0.4175
P: 0.4440 0.2500 0.8477
P: 0.5560 0.7500 0.1523
P: 0.6959 0.7500 0.5825
P: 0.8041 0.2500 0.0825
P: 0.9440 0.2500 0.6523
O: 0.0034 0.7500 0.1679
O: 0.0186 0.2500 0.5117
O: 0.0391 0.2500 0.1385
O: 0.1187 0.5527 0.3482
O: 0.1187 0.9473 0.3482
O: 0.1305 0.5532 0.9419
O: 0.1305 0.9468 0.9419
O: 0.2170 0.2500 0.5397
O: 0.2488 0.7500 0.7436
O: 0.2512 0.2500 0.2436
O: 0.2830 0.7500 0.0397
O: 0.3695 0.0532 0.4419
O: 0.3695 0.4468 0.4419
O: 0.3813 0.0527 0.8482
O: 0.3813 0.4473 0.8482
O: 0.4609 0.7500 0.6385
O: 0.4814 0.7500 0.0117
O: 0.4966 0.2500 0.6679
O: 0.5034 0.7500 0.3321
O: 0.5186 0.2500 0.9883
O: 0.5391 0.2500 0.3615
O: 0.6187 0.5527 0.1518
O: 0.6187 0.9473 0.1518
O: 0.6305 0.5532 0.5581
O: 0.6305 0.9468 0.5581
O: 0.7170 0.2500 0.9603
O: 0.7488 0.7500 0.7564
O: 0.7512 0.2500 0.2564
O: 0.7830 0.7500 0.4603
O: 0.8695 0.0532 0.0581
O: 0.8695 0.4468 0.0581
O: 0.8813 0.0527 0.6518
O: 0.8813 0.4473 0.6518
O: 0.9609 0.7500 0.8615
O: 0.9814 0.7500 0.4883
O: 0.9966 0.2500 0.8321

Output
As for the space-group type: Pnma, No. 62. The calculated density is 2914 kg/m3. The value obtained for the uncorrected formation energy is -33.32 eV per formula unit. The value obtained for the total magnetization is 0.0 μB per cell.



Which formula does entry 4 have? TiP4O12



Please write out number 2 again, unchanged.
Material: ZnTeP2O
Method: DFT, GGA-PBEsol
State: relaxed

a = 5.0570 Å, b = 5.0570 Å, c = 3.8886 Å
α = 90.00°, β = 90.00°, γ = 90.00°
Fractional coordinates of all 5 atoms:
Zn: 0.0000 0.0000 0.0000
Te: 0.5000 0.5000 0.5000
P: 0.0000 0.5000 0.5000
P: 0.5000 0.0000 0.5000
O: 0.5000 0.5000 0.0000

Output
As for the space-group type: P4/mmm, No. 123. The calculated density is 4525 kg/m3. The value obtained for the uncorrected formation energy is 3.10 eV per formula unit. The value obtained for the total magnetization is 0.0 μB per cell.



Which value of total magnetization does entry 5 give? 2.1 μB per cell



The lowest calculated density belongs to which entry? number 7